Entry 1:
! PBE Be3NiC, relaxed; values from VASP
! E_form = 1.563 eV/atom
! E above lowest polymorph = 1.346 eV/atom
&SYSTEM
  ibrav = 0, nat = 5, ntyp = 3
/
ATOMIC_SPECIES
Ni 58.69 Ni.upf
C 12.01 C.upf
Be 9.01 Be.upf
CELL_PARAMETERS angstrom
-1.467 3.583 -0.219
-1.540 -0.841 -3.459
-3.243 -1.222 1.741
ATOMIC_POSITIONS angstrom
Ni 0.000 0.000 0.000
C -3.125 0.760 -0.968
Be -0.770 -0.421 -1.729
Be -1.622 -0.611 0.870
Be -0.734 1.792 -0.109



Entry 2:
! PBE Dy2Y3Ho6Pu, relaxed; values from VASP
! E_form = 0.046 eV/atom
&SYSTEM
  ibrav = 0, nat = 12, ntyp = 4
/
ATOMIC_SPECIES
Dy 162.50 Dy.upf
Y 88.91 Y.upf
Ho 164.93 Ho.upf
Pu 244.00 Pu.upf
CELL_PARAMETERS angstrom
-4.767 2.961 -2.427
-0.673 -3.121 5.214
4.607 9.452 5.055
ATOMIC_POSITIONS angstrom
Dy -2.038 -1.093 2.666
Dy -3.402 0.933 0.120
Y 0.947 2.622 6.464
Y -1.779 6.670 1.378
Y -0.416 4.646 3.921
Ho -1.302 7.997 4.645
Ho -2.955 2.216 3.347
Ho 0.470 1.294 3.197
Ho 0.047 5.993 7.163
Ho 2.123 7.076 4.495
Ho -0.879 3.299 0.679
Pu 0.000 0.000 0.000



Entry 3:
! PBE Pm3PrRu8, relaxed; values from VASP
! E_form = -0.155 eV/atom
&SYSTEM
  ibrav = 0, nat = 12, ntyp = 3
/
ATOMIC_SPECIES
Pm 145.00 Pm.upf
Pr 140.91 Pr.upf
Ru 101.07 Ru.upf
CELL_PARAMETERS angstrom
5.173 -0.006 1.572
2.346 4.611 1.572
-0.007 -0.004 9.435
ATOMIC_POSITIONS angstrom
Pm 2.841 1.740 9.412
Pm 0.018 0.011 9.419
Pm 3.781 2.316 6.276
Pr 6.600 4.042 6.272
Ru 5.896 2.025 3.902
Ru 4.464 4.333 8.645
Ru 3.214 1.969 3.114
Ru 6.968 4.267 9.433
Ru 1.400 0.857 4.803
Ru 5.158 3.159 11.092
Ru 4.483 4.332 3.902
Ru 5.889 2.007 8.645



Entry 4:
! PBE TcBOs3, relaxed; values from VASP
! E_form = 0.345 eV/atom
! E above lowest polymorph = 0.000 eV/atom
&SYSTEM
  ibrav = 0, nat = 5, ntyp = 3
/
ATOMIC_SPECIES
B 10.81 B.upf
Os 190.23 Os.upf
Tc 98.00 Tc.upf
CELL_PARAMETERS angstrom
4.063 0.000 0.000
0.000 4.063 0.000
0.000 0.000 4.063
ATOMIC_POSITIONS angstrom
B 0.000 0.000 0.000
Os 0.000 2.031 0.000
Os 0.000 0.000 2.031
Os 2.031 0.000 0.000
Tc 2.031 2.031 2.031



Entry 5:
! PBE CaCdBr2, relaxed; values from VASP
! E above lowest polymorph = 0.131 eV/atom
! ΔE_f (raw) = -1.24 eV per atom
&SYSTEM
  ibrav = 0, nat = 4, ntyp = 3
/
ATOMIC_SPECIES
Ca 40.08 Ca.upf
Br 79.90 Br.upf
Cd 112.41 Cd.upf
CELL_PARAMETERS angstrom
-2.566 -10.055 0.869
3.054 -9.911 0.943
-0.491 10.230 1.883
ATOMIC_POSITIONS angstrom
Ca 0.269 -11.015 1.000
Br 0.483 -19.772 1.795
Br -1.454 -2.941 1.651
Cd 1.431 -5.957 1.968



Entry 6:
! PBE KZrBH2, relaxed; values from VASP
! E above lowest polymorph = 0.081 eV/atom
&SYSTEM
  ibrav = 0, nat = 5, ntyp = 4
/
ATOMIC_SPECIES
H 1.01 H.upf
K 39.10 K.upf
B 10.81 B.upf
Zr 91.22 Zr.upf
CELL_PARAMETERS angstrom
-1.144 -2.921 -3.130
-0.487 -3.089 3.060
-4.253 1.148 0.482
ATOMIC_POSITIONS angstrom
H -2.126 0.574 0.241
H -0.572 -1.460 -1.565
K -2.942 -2.431 0.206
B 0.000 0.000 0.000
Zr -0.244 -1.545 1.530



Entry 7:
! PBE CrCo3, relaxed; values from VASP
! E_form = 0.170 eV/atom
! E above lowest polymorph = 0.176 eV/atom
&SYSTEM
  ibrav = 0, nat = 4, ntyp = 2
/
ATOMIC_SPECIES
Co 58.93 Co.upf
Cr 52.00 Cr.upf
CELL_PARAMETERS angstrom
2.780 0.000 0.000
0.000 2.780 0.000
0.000 0.000 5.834
ATOMIC_POSITIONS angstrom
Co 0.000 0.000 5.808
Co 0.000 0.000 2.942
Co 1.390 1.390 1.458
Cr 1.390 1.390 4.375



Entry 8:
! PBE Sr2PCl, relaxed; values from VASP
! ΔE_f (raw) = -1.62 eV per atom
&SYSTEM
  ibrav = 0, nat = 4, ntyp = 3
/
ATOMIC_SPECIES
Sr 87.62 Sr.upf
P 30.97 P.upf
Cl 35.45 Cl.upf
CELL_PARAMETERS angstrom
-1.584 -2.019 -3.539
0.051 -4.365 -0.232
-7.370 -2.378 1.956
ATOMIC_POSITIONS angstrom
Sr -5.894 -2.325 1.264
Sr -1.918 -2.179 -0.598
P -8.368 -6.633 -0.569
Cl -4.544 -4.384 -0.864



Entry 9:
! PBE Rb5GaCl8, relaxed; values from VASP
! ΔE_f (raw) = -1.68 eV per atom
&SYSTEM
  ibrav = 0, nat = 14, ntyp = 3
/
ATOMIC_SPECIES
Rb 85.47 Rb.upf
Ga 69.72 Ga.upf
Cl 35.45 Cl.upf
CELL_PARAMETERS angstrom
-7.645 -4.628 -1.664
6.746 -4.772 3.788
-0.621 6.476 6.349
ATOMIC_POSITIONS angstrom
Rb -0.947 -0.570 6.108
Rb 5.119 -2.882 6.075
Rb -1.979 -2.745 0.036
Rb 3.063 0.852 5.068
Rb -5.232 0.349 4.725
Ga 1.082 -4.274 3.596
Cl 0.618 -2.611 2.223
Cl 0.073 -3.798 5.499
Cl -3.002 -5.535 1.182
Cl -2.730 -1.112 3.399
Cl 2.566 -1.435 7.315
Cl 3.282 -4.419 3.664
Cl 0.354 -6.269 2.997
Cl 0.128 2.234 5.047



Entry 10:
! PBE Nd12InCo5, relaxed; values from VASP
! E_form = -0.132 eV/atom
&SYSTEM
  ibrav = 0, nat = 18, ntyp = 3
/
ATOMIC_SPECIES
Nd 144.24 Nd.upf
In 114.82 In.upf
Co 58.93 Co.upf
CELL_PARAMETERS angstrom
-1.755 -3.665 -7.577
7.554 4.086 -0.415
0.525 -5.956 6.178
ATOMIC_POSITIONS angstrom
Nd 5.614 -2.729 0.092
Nd 0.710 -2.807 -1.906
Nd 0.217 -6.658 -2.466
Nd 6.106 1.122 0.652
Nd 4.150 -1.999 -3.205
Nd 2.173 -3.537 1.391
Nd 5.152 -4.227 3.516
Nd 1.172 -1.309 -5.330
Nd 3.608 -5.243 -1.443
Nd 2.716 -0.293 -0.371
Nd 7.570 -1.418 3.092
Nd -1.247 -4.118 -4.906
In 4.039 -0.935 2.882
Co 3.585 0.260 -4.942
Co 2.214 0.160 -3.051
Co 0.287 -5.020 -0.056
Co 6.037 -0.516 -1.758
Co 0.000 0.000 0.000



Entry 11:
! PBE KSiTc, relaxed; values from VASP
! E above lowest polymorph = 0.975 eV/atom
! ΔE_f (raw) = 1.21 eV per atom
&SYSTEM
  ibrav = 0, nat = 3, ntyp = 3
/
ATOMIC_SPECIES
K 39.10 K.upf
Si 28.09 Si.upf
Tc 98.00 Tc.upf
CELL_PARAMETERS angstrom
4.431 0.000 0.000
2.215 3.837 0.000
2.215 1.279 3.618
ATOMIC_POSITIONS angstrom
K 0.000 0.000 0.000
Si 4.431 2.558 1.809
Tc 6.646 3.837 2.713



Entry 12:
! PBE Nd8Y2In, relaxed; values from VASP
! E_form = 0.056 eV/atom
! E above lowest polymorph = 0.125 eV/atom
&SYSTEM
  ibrav = 0, nat = 11, ntyp = 3
/
ATOMIC_SPECIES
Nd 144.24 Nd.upf
Y 88.91 Y.upf
In 114.82 In.upf
CELL_PARAMETERS angstrom
7.055 -0.701 -0.532
-1.120 8.354 2.065
-1.120 4.238 7.489
ATOMIC_POSITIONS angstrom
Nd 1.402 6.023 6.578
Nd 3.414 3.935 4.994
Nd -0.285 10.195 7.736
Nd 5.101 1.696 1.287
Nd 1.402 7.956 4.029
Nd 3.414 5.869 2.445
Nd 5.290 6.930 5.258
Nd -0.475 4.961 3.764
Y 3.266 9.127 6.925
Y 1.550 2.764 2.097
In 0.000 0.000 0.000



Computed values of magnetic moment (unit: μB per formula unit) for the preceding records, in sequence: 0.00 6.45 0.00 0.00 0.00 0.00 5.79 0.00 0.50 0.00 0.00 0.00.
Computed values of total energy (unit: hartree per atom) for the preceding records, in sequence: -0.13503 -0.21389 -0.29121 -0.36019 -0.10325 -0.11884 -0.27801 -0.15712 -0.12100 -0.19980 -0.16252 -0.17770.